<one>
Entry from Alexandria: DyYZnPt after structural relaxation (PBE).

Cell: 4.5001 3.8155 10.6559 Å, 90.00 90.00 90.00°
Last column: nearest neighbours and their distance in Å.
Space group Amm2 (No. 38)
Unique sites:
Dy: 0.0000 0.0000 0.0000 [2 per cell]  3 Pt 2.97-3.06, 4 Zn 3.03
Y: 0.5000 0.0000 0.2807 [2 per cell]  3 Zn 3.00-3.01, 4 Pt 3.04
Zn: 0.5000 0.0000 0.5632 [2 per cell]  2 Pt 2.76, 3 Y 3.00-3.01, 4 Dy 3.03
Pt: 0.0000 0.0000 0.7131 [2 per cell]  2 Zn 2.76, 3 Dy 2.97-3.06, 4 Y 3.04

Output
Calculated density ... 9292 kg/m³


<two>
Entry from Alexandria: DyYZnPt after structural relaxation (PBE).

Cell: 7.0564 7.0564 7.0564 Å, 90.00 90.00 90.00°
Last column: nearest neighbours and their distance in Å.
Space group F-43m (No. 216)
Unique sites:
Dy: 0.0000 0.0000 0.0000 [4 per cell]  4 Pt 3.06, 4 Zn 3.06
Y: 0.0000 0.0000 0.5000 [4 per cell]  4 Pt 3.06, 4 Zn 3.06
Zn: 0.2500 0.2500 0.7500 [4 per cell]  4 Dy 3.06, 4 Y 3.06
Pt: 0.2500 0.2500 0.2500 [4 per cell]  4 Y 3.06, 4 Dy 3.06

Output
Calculated density ... 9677 kg/m³


Least stable of them? <two>.


<one>
Entry from Alexandria: Dy6Zn2Pt after structural relaxation (PBE).

Cell: 9.5780 9.5941 9.9757 Å, 90.00 90.00 90.00°
Last column: nearest neighbours and their distance in Å.
Space group Immm (No. 71)
Unique sites:
Dy: 0.0000 0.1734 0.2459 [8 per cell]  1 Pt 3.03, 3 Zn 3.13-3.21, 1 Dy 3.33
Dy: 0.1740 0.5000 0.2800 [8 per cell]  3 Zn 2.90-3.04
Dy: 0.2393 0.3103 0.0000 [8 per cell]  2 Pt 2.93-3.09, 2 Zn 3.01-3.16
Zn: 0.0000 0.3650 0.5000 [4 per cell]  1 Zn 2.59
Zn: 0.1282 0.0000 0.0000 [4 per cell]  1 Zn 2.46
Pt: 0.0000 0.0000 0.5000 [2 per cell]  8 Dy 3.03-3.09
Pt: 0.0000 0.5000 0.0000 [2 per cell]  8 Dy 2.93-3.25

Output
Calculated density ... 9426 kg/m³


<two>
Entry from Alexandria: Dy6Zn2Pt after structural relaxation (PBE).

Cell: 4.9427 6.9450 14.7103 Å, 90.00 90.00 90.00°
Last column: nearest neighbours and their distance in Å.
Space group Immm (No. 71)
Unique sites:
Dy: 0.0000 0.2438 0.0000 [4 per cell]  2 Pt 3.00, 2 Zn 3.03
Dy: 0.0000 0.2532 0.3378 [8 per cell]  1 Pt 2.94, 3 Zn 3.03-3.04
Zn: 0.0000 0.5000 0.1671 [4 per cell]  8 Dy 3.03-3.04
Pt: 0.0000 0.5000 0.5000 [2 per cell]  8 Dy 2.94-3.00

Output
Calculated density ... 8556 kg/m³


Least stable of them? <two>.


<one>
Entry from Alexandria: Dy3ZnPt3 after structural relaxation (PBE).

Cell: 8.5361 8.5361 5.6402 Å, 90.00 90.00 120.00°
Last column: nearest neighbours and their distance in Å.
Space group P6_3/m (No. 176)
Unique sites:
Dy: 0.0348 0.3361 0.2500 [6 per cell]  5 Pt 2.83-2.90, 1 Zn 3.13
Zn: 0.3333 0.6667 0.7500 [2 per cell]  3 Pt 2.55
Pt: 0.0367 0.3654 0.7500 [6 per cell]  1 Zn 2.55, 3 Dy 2.83-2.85

Output
Calculated density ... 10620 kg/m³


<two>
Entry from Alexandria: Dy3ZnPt3 after structural relaxation (PBE).

Cell: 4.1250 10.3946 13.9736 Å, 90.00 90.00 90.00°
Last column: nearest neighbours and their distance in Å.
Space group Cmcm (No. 63)
Unique sites:
Dy: 0.0000 0.0327 0.2500 [4 per cell]  7 Pt 2.82-3.14
Dy: 0.0000 0.3044 0.1060 [8 per cell]  6 Pt 2.92-3.03, 2 Zn 3.25
Zn: 0.0000 0.0000 0.0000 [4 per cell]  4 Pt 2.61
Pt: 0.0000 0.2389 0.7500 [4 per cell]  7 Dy 2.82-3.14, 2 Pt 2.83
Pt: 0.0000 0.4089 0.5917 [8 per cell]  2 Zn 2.61, 1 Pt 2.83

Output
Calculated density ... 12618 kg/m³


Least stable of them? <one>.


<one>
Entry from Alexandria: DyZn2Pt2 after structural relaxation (PBE).

Cell: 3.8105 3.8105 12.6971 Å, 90.00 90.00 90.00°
Last column: nearest neighbours and their distance in Å.
Space group I4/mmm (No. 139)
Unique sites:
Dy: 0.0000 0.0000 0.0000 [2 per cell]  8 Pt 3.02
Zn: 0.0000 0.5000 0.2500 [4 per cell]  4 Pt 2.63, 4 Zn 2.69
Pt: 0.0000 0.0000 0.3931 [4 per cell]  4 Zn 2.63, 1 Pt 2.71

Output
Calculated density ... 12313 kg/m³


<two>
Entry from Alexandria: DyZn2Pt2 after structural relaxation (PBE).

Cell: 4.8490 4.6067 8.3088 Å, 90.00 100.44 90.00°
Last column: nearest neighbours and their distance in Å.
Space group P2_1/m (No. 11)
Unique sites:
Dy: 0.1993 0.2500 0.2721 [2 per cell]  7 Pt 2.95-3.15, 4 Zn 3.08-3.22
Zn: 0.3323 0.2500 0.6493 [2 per cell]  5 Pt 2.55-2.70
Zn: 0.3568 0.7500 0.0015 [2 per cell]  4 Pt 2.54-2.64, 2 Zn 2.69
Pt: 0.1148 0.2500 0.9071 [2 per cell]  5 Zn 2.54-2.64
Pt: 0.2102 0.7500 0.4944 [2 per cell]  4 Zn 2.65-2.70, 2 Dy 2.95

Output
Calculated density ... 12436 kg/m³


Least stable of them? <two>.


<one>
Entry from Alexandria: DyZn4Pt after structural relaxation (PBE).

Cell: 7.3365 7.3365 7.3365 Å, 90.00 90.00 90.00°
Last column: nearest neighbours and their distance in Å.
Space group F-43m (No. 216)
Unique sites:
Dy: 0.0000 0.0000 0.0000 [4 per cell]  12 Zn 3.04, 4 Pt 3.18
Zn: 0.1243 0.1243 0.6243 [16 per cell]  6 Zn 2.58-2.61
Pt: 0.2500 0.2500 0.2500 [4 per cell]  12 Zn 3.04, 4 Dy 3.18

Output
Calculated density ... 10416 kg/m³


<two>
Entry from Alexandria: DyZn4Pt after structural relaxation (PBE).

Cell: 4.6462 13.5526 6.9347 Å, 90.00 90.00 90.00°
Last column: nearest neighbours and their distance in Å.
Space group Cmcm (No. 63)
Unique sites:
Dy: 0.0000 0.1188 0.2500 [4 per cell]  7 Zn 2.80-3.10, 1 Pt 3.08
Zn: 0.0000 0.0881 0.7500 [4 per cell]  2 Pt 2.49, 2 Zn 2.76
Zn: 0.0000 0.2724 0.5809 [8 per cell]  1 Zn 2.35, 1 Pt 2.50
Zn: 0.0000 0.5000 0.0000 [4 per cell]  2 Pt 2.71
Pt: 0.0000 0.3460 0.2500 [4 per cell]  6 Zn 2.49-2.71

Output
Calculated density ... 9419 kg/m³


Least stable of them? <two>.


<one>
Entry from Alexandria: DyZrPt after structural relaxation (PBE).

Cell: 3.4643 3.4643 11.1445 Å, 90.00 90.00 90.00°
Last column: nearest neighbours and their distance in Å.
Space group I4mm (No. 107)
Unique sites:
Dy: 0.0000 0.0000 0.0000 [2 per cell]  4 Pt 3.08, 5 Zr 3.32-3.33
Zr: 0.0000 0.0000 0.7012 [2 per cell]  4 Pt 2.85
Pt: 0.0000 0.0000 0.3324 [2 per cell]  4 Zr 2.85, 4 Dy 3.08

Output
Calculated density ... 11144 kg/m³


<two>
Entry from Alexandria: DyZrPt after structural relaxation (PBE).

Cell: 5.4015 4.6247 5.9698 Å, 90.00 106.89 90.00°
Last column: nearest neighbours and their distance in Å.
Space group P2_1/m (No. 11)
Unique sites:
Dy: 0.0720 0.2500 0.2529 [2 per cell]  4 Pt 2.85-3.12
Zr: 0.4499 0.2500 0.8289 [2 per cell]  3 Pt 2.74-2.85, 2 Zr 3.03
Pt: 0.3672 0.7500 0.5727 [2 per cell]  3 Zr 2.74-2.85, 2 Dy 2.85-2.90, 2 Pt 2.98

Output
Calculated density ... 10446 kg/m³


Least stable of them? <one>.


<one>
Entry from Alexandria: DyPu3 after structural relaxation (PBE).

Cell: 4.8216 4.8216 9.6567 Å, 90.00 90.00 90.00°
Last column: nearest neighbours and their distance in Å.
Space group I4/mmm (No. 139)
Unique sites:
Dy: 0.0000 0.0000 0.0000 [2 per cell]  12 Pu 3.41
Pu: 0.0000 0.0000 0.5000 [2 per cell]  4 Dy 3.41, 8 Pu 3.41
Pu: 0.0000 0.5000 0.2500 [4 per cell]  8 Pu 3.41, 4 Dy 3.41

Output
Calculated density ... 13233 kg/m³


<two>
Entry from Alexandria: DyPu3 after structural relaxation (PBE).

Cell: 3.5468 5.2305 5.4075 Å, 90.00 90.00 90.00°
Last column: nearest neighbours and their distance in Å.
Space group Pmm2 (No. 25)
Unique sites:
Dy: 0.0000 0.0000 0.0000 [1 per cell]  10 Pu 3.18-3.51, 2 Dy 3.55
Pu: 0.0000 0.5000 0.4329 [1 per cell]  2 Pu 2.54
Pu: 0.5000 0.0000 0.4883 [1 per cell]  6 Pu 3.02-3.17, 4 Dy 3.18-3.29
Pu: 0.5000 0.5000 0.7690 [1 per cell]  2 Pu 2.54

Output
Calculated density ... 14806 kg/m³


Least stable of them? <two>.


<one>
Entry from Alexandria: DyPu3 after structural relaxation (PBE).

Cell: 4.8151 4.8151 4.8151 Å, 90.00 90.00 90.00°
Last column: nearest neighbours and their distance in Å.
Space group Pm-3m (No. 221)
Unique sites:
Dy: 0.0000 0.0000 0.0000 [1 per cell]  12 Pu 3.40
Pu: 0.0000 0.5000 0.5000 [3 per cell]  4 Dy 3.40, 8 Pu 3.40

Output
Calculated density ... 13305 kg/m³


<two>
Entry from Alexandria: DyPu3 after structural relaxation (PBE).

Cell: 3.6118 11.1276 5.6064 Å, 90.00 90.00 90.00°
Last column: nearest neighbours and their distance in Å.
Space group Imm2 (No. 44)
Unique sites:
Dy: 0.0000 0.0000 0.0000 [2 per cell]  8 Pu 3.33-3.46, 2 Dy 3.61
Pu: 0.0000 0.2348 0.5013 [4 per cell]  6 Pu 3.18-3.35, 2 Dy 3.46
Pu: 0.0000 0.5000 0.9999 [2 per cell]  4 Pu 3.18, 4 Dy 3.33-3.34

Output
Calculated density ... 13184 kg/m³


Least stable of them? <two>.


<one>
Entry from Alexandria: Dy2PuRh after structural relaxation (PBE).

Cell: 3.4316 3.4316 8.5752 Å, 90.00 90.00 90.00°
Last column: nearest neighbours and their distance in Å.
Space group P4/mmm (No. 123)
Unique sites:
Dy: 0.0000 0.0000 0.1954 [2 per cell]  4 Rh 2.95
Pu: 0.5000 0.5000 0.5000 [1 per cell]  4 Pu 3.43, 8 Dy 3.57
Rh: 0.5000 0.5000 0.0000 [1 per cell]  8 Dy 2.95

Output
Calculated density ... 11049 kg/m³


<two>
Entry from Alexandria: Dy2PuRh after structural relaxation (PBE).

Cell: 3.6046 3.6046 30.9854 Å, 90.00 90.00 120.00°
Last column: nearest neighbours and their distance in Å.
Space group R-3m (No. 166, hexagonal axes)
Unique sites:
Dy: 0.0000 0.0000 0.1093 [6 per cell]  3 Rh 2.74
Pu: 0.0000 0.0000 0.0000 [3 per cell]  2 Dy 3.39, 6 Pu 3.60
Rh: 0.0000 0.0000 0.5000 [3 per cell]  6 Dy 2.74

Output
Calculated density ... 9600 kg/m³


Least stable of them? <two>.


<one>
Entry from Alexandria: DyPu2S4 after structural relaxation (PBE).

Cell: 7.0603 11.3580 4.0766 Å, 90.00 90.00 90.00°
Last column: nearest neighbours and their distance in Å.
Space group Pbam (No. 55)
Unique sites:
Dy: 0.0000 0.0000 0.0000 [2 per cell]  6 S 2.67-2.76
Pu: 0.0970 0.3164 0.5000 [4 per cell]  6 S 2.82-2.89
S: 0.1321 0.7793 0.0000 [4 per cell]  1 Dy 2.67, 4 Pu 2.82-2.83
S: 0.2492 0.5483 0.5000 [4 per cell]  2 Dy 2.76, 2 Pu 2.85-2.89

Output
Calculated density ... 7911 kg/m³


<two>
Entry from Alexandria: DyPu2S4 after structural relaxation (PBE).

Cell: 3.8458 13.0565 13.1428 Å, 90.00 90.00 90.00°
Last column: nearest neighbours and their distance in Å.
Space group Cmcm (No. 63)
Unique sites:
Dy: 0.0000 0.1220 0.2500 [4 per cell]  6 S 2.73-2.86
Pu: 0.0000 0.3676 0.0691 [8 per cell]  6 S 2.74-2.81
S: 0.0000 0.0000 0.0000 [4 per cell]  4 Pu 2.74
S: 0.0000 0.2768 0.6246 [8 per cell]  3 Pu 2.79-2.81, 2 Dy 2.86
S: 0.0000 0.4734 0.2500 [4 per cell]  2 Dy 2.73, 2 Pu 2.75

Output
Calculated density ... 7838 kg/m³


Least stable of them? <two>.


<one>
Entry from Alexandria: DyPu3Sb4 after structural relaxation (PBE).

Cell: 7.6474 8.8334 7.6491 Å, 90.00 109.49 90.00°
Last column: nearest neighbours and their distance in Å.
Space group P2/c (No. 13)
Unique sites:
Dy: 0.0000 0.1242 0.2500 [2 per cell]  6 Sb 3.11-3.12
Pu: 0.0000 0.3737 0.7500 [2 per cell]  6 Sb 3.12
Pu: 0.5000 0.1248 0.7500 [2 per cell]  6 Sb 3.11-3.13
Pu: 0.5000 0.3737 0.2500 [2 per cell]  6 Sb 3.12-3.13
Sb: 0.2486 0.3752 0.4998 [4 per cell]  5 Pu 3.12-3.13, 1 Dy 3.12
Sb: 0.2499 0.1238 0.9999 [4 per cell]  2 Dy 3.11-3.12, 4 Pu 3.11-3.12

Output
Calculated density ... 9419 kg/m³


<two>
Entry from Alexandria: DyPu3Sb4 after structural relaxation (PBE).

Cell: 8.8249 12.4681 4.4199 Å, 90.00 90.00 90.00°
Last column: nearest neighbours and their distance in Å.
Space group Cmmm (No. 65)
Unique sites:
Dy: 0.0000 0.0000 0.0000 [2 per cell]  6 Sb 3.11-3.12
Pu: 0.0000 0.5000 0.0000 [2 per cell]  6 Sb 3.13
Pu: 0.2500 0.2500 0.5000 [4 per cell]  6 Sb 3.12
Sb: 0.0000 0.2490 0.0000 [4 per cell]  1 Dy 3.11, 5 Pu 3.12-3.13
Sb: 0.2489 0.0000 0.5000 [4 per cell]  2 Dy 3.12, 4 Pu 3.12-3.13

Output
Calculated density ... 9434 kg/m³


Least stable of them? <two>.


<one>
Entry from Alexandria: Dy2PuSb after structural relaxation (PBE).

Cell: 3.5486 3.5486 31.8155 Å, 90.00 90.00 120.00°
Last column: nearest neighbours and their distance in Å.
Space group R-3m (No. 166, hexagonal axes)
Unique sites:
Dy: 0.0000 0.0000 0.2452 [6 per cell]  3 Sb 3.23, 3 Pu 3.47, 6 Dy 3.55
Pu: 0.0000 0.0000 0.0000 [3 per cell]  6 Dy 3.47, 6 Pu 3.55
Sb: 0.0000 0.0000 0.5000 [3 per cell]  6 Dy 3.23, 6 Sb 3.55

Output
Calculated density ... 9918 kg/m³


<two>
Entry from Alexandria: Dy2PuSb after structural relaxation (PBE).

Cell: 4.8493 4.8493 4.5710 Å, 90.00 90.00 90.00°
Last column: nearest neighbours and their distance in Å.
Space group P4/mmm (No. 123)
Unique sites:
Dy: 0.0000 0.5000 0.0000 [2 per cell]  4 Sb 3.33, 4 Pu 3.33, 4 Dy 3.43
Pu: 0.0000 0.0000 0.5000 [1 per cell]  8 Dy 3.33, 4 Sb 3.43
Sb: 0.5000 0.5000 0.5000 [1 per cell]  8 Dy 3.33, 4 Pu 3.43

Output
Calculated density ... 10671 kg/m³


Least stable of them? <one>.